This record from Alexandria describes an optimized crystal structure of Ti8Mo2Ir. The functional is PBE-GGA.

Cell lengths 4.5709, 5.2286, 7.8099 Å; angles 91.35, 107.02, 90.00 degrees
Closest atoms and distances in Å follow each position.
Fractional coordinates of all 11 atoms:
Ti  0.5868  0.4352  0.1737  1 Ir 2.59, 6 Ti 2.67-2.89, 1 Mo 2.79
Ti  0.3206  0.0719  0.6412  3 Mo 2.58-2.83, 1 Ir 2.71, 3 Ti 2.82-2.84
Ir  0.5000  0.0000  0.0000  8 Ti 2.59-2.77
Ti  0.0466  0.7357  0.0932  2 Ir 2.77, 1 Mo 2.78, 6 Ti 2.80-3.04
Ti  0.1410  0.2271  0.2819  1 Mo 2.53, 6 Ti 2.67-2.84
Ti  0.9534  0.2643  0.9068  2 Ir 2.77, 1 Mo 2.78, 6 Ti 2.80-3.04
Mo  0.7706  0.3534  0.5412  6 Ti 2.53-2.83, 2 Mo 2.83
Ti  0.8590  0.7729  0.7181  1 Mo 2.53, 6 Ti 2.67-2.84
Mo  0.2294  0.6466  0.4588  6 Ti 2.53-2.83, 2 Mo 2.83
Ti  0.6794  0.9281  0.3588  3 Mo 2.58-2.83, 1 Ir 2.71, 3 Ti 2.82-2.84
Ti  0.4132  0.5648  0.8263  1 Ir 2.59, 6 Ti 2.67-2.89, 1 Mo 2.79

Summary:
**Total energy**: -8.770 eV per atom
**Density**: 7.1 g/cm3
**DFT formation energy**: -0.254 eV per atom